[1]
! PmAsN, optimized geometry, DFT PBE; values from VASP
&SYSTEM
  ibrav = 0, nat = 6, ntyp = 3
/
ATOMIC_SPECIES
As 74.92 As.upf
Pm 145.00 Pm.upf
N 14.01 N.upf
CELL_PARAMETERS angstrom
-3.039 3.055 -1.100
-2.785 -2.660 0.305
-0.427 1.297 7.414
ATOMIC_POSITIONS crystal
As 0.148 0.750 0.068
As 0.852 0.250 0.932
Pm 0.733 0.250 0.363
Pm 0.267 0.750 0.637
N 0.246 0.250 0.469
N 0.754 0.750 0.531
! - offset from the most stable computed form (eV/atom) = 0.000
! - E_tot (Ry per atom) = -0.486
! - E_form (uncorrected) (meV per atom) = -699


[2]
! Pr3ErNi8, optimized geometry, DFT PBE; values from VASP
&SYSTEM
  ibrav = 0, nat = 12, ntyp = 3
/
ATOMIC_SPECIES
Ni 58.69 Ni.upf
Er 167.26 Er.upf
Pr 140.91 Pr.upf
CELL_PARAMETERS angstrom
5.156 0.000 0.000
2.578 4.465 0.000
2.578 1.488 8.446
ATOMIC_POSITIONS crystal
Ni 0.937 0.442 0.683
Ni 0.687 0.687 0.938
Ni 0.936 0.436 0.192
Ni 0.442 0.937 0.683
Ni 0.436 0.436 0.192
Ni 0.188 0.188 0.436
Ni 0.937 0.937 0.683
Ni 0.436 0.936 0.192
Er 0.875 0.875 0.376
Pr 0.999 0.999 0.003
Pr 0.375 0.375 0.874
Pr 0.501 0.501 0.498
! - E_tot (Ry per atom) = -0.423
! - energy relative to the elements (eV/atom) = -0.324


[3]
! RbMgSn, optimized geometry, DFT PBE; values from VASP
&SYSTEM
  ibrav = 0, nat = 6, ntyp = 3
/
ATOMIC_SPECIES
Sn 118.71 Sn.upf
Rb 85.47 Rb.upf
Mg 24.30 Mg.upf
CELL_PARAMETERS angstrom
5.164 -0.001 0.001
-1.903 6.437 0.001
-2.021 -0.983 6.903
ATOMIC_POSITIONS crystal
Sn 0.925 0.506 0.114
Sn 0.504 0.099 0.845
Rb 0.723 0.674 0.581
Rb 0.244 0.094 0.289
Mg 0.043 0.263 0.796
Mg 0.459 0.695 0.012
! - offset from the most stable computed form (eV/atom) = 0.092
! - E_tot (Ry per atom) = -0.168
! - energy relative to the elements (eV/atom) = -0.096


Q: Which formula does entry 2 have?
A: Pr3ErNi8


Q: Which formula does entry 2 have?
A: Pr3ErNi8